Record 1
First-principles (PBE) data for a relaxed structure of Mn2Al2Cu, as listed in Alexandria via LeMat-Bulk.

Cell and atoms, written as POSCAR:
```
Mn2Al2Cu
1.0
6.934 0.000 0.000
0.000 6.934 0.000
0.000 0.000 2.884
Mn Al Cu
4 4 2
direct
0.165 0.335 0.000 Mn
0.335 0.835 0.000 Mn
0.665 0.165 0.000 Mn
0.835 0.665 0.000 Mn
0.134 0.634 0.500 Al
0.366 0.134 0.500 Al
0.634 0.866 0.500 Al
0.866 0.366 0.500 Al
0.000 0.000 0.500 Cu
0.500 0.500 0.500 Cu
```

Computed properties:
For the energy above the most stable polymorph in this dataset, the calculation gives 69 meV/atom. For the calculated formation energy, the calculation gives 15 meV per atom. For the total magnetization, the calculation gives 1.0658 μB per atom.


Record 2
First-principles (PBE) data for a relaxed structure of MnAl2Cu, as listed in Alexandria via LeMat-Bulk.

Cell and atoms, written as POSCAR:
```
MnAl2Cu
1.0
1.368 0.790 8.377
-1.368 0.790 8.377
0.000 -1.580 8.377
Mn Al Cu
1 2 1
direct
0.000 0.000 0.000 Mn
0.251 0.251 0.251 Al
0.749 0.749 0.749 Al
0.500 0.500 0.500 Cu
```

Computed properties:
For the calculated formation energy, the calculation gives -112 meV per atom. For the total magnetization, the calculation gives 0.5670 μB per atom.


Record 3
First-principles (PBE) data for a relaxed structure of Mn2Al2Cu, as listed in Alexandria via LeMat-Bulk.

Cell and atoms, written as POSCAR:
```
Mn2Al2Cu
1.0
-1.596 1.596 6.794
1.596 -1.596 6.794
1.596 1.596 -6.794
Mn Al Cu
2 2 1
direct
0.250 0.750 0.500 Mn
0.750 0.250 0.500 Mn
0.102 0.102 0.000 Al
0.898 0.898 0.000 Al
0.500 0.500 0.000 Cu
```

Computed properties:
For the energy above the most stable polymorph in this dataset, the calculation gives 300 meV/atom. For the calculated formation energy, the calculation gives 245 meV per atom. For the total magnetization, the calculation gives 0.0000 μB per atom.


Record 4
First-principles (PBE) data for a relaxed structure of MnAl8Cu2, as listed in Alexandria via LeMat-Bulk.

Cell and atoms, written as POSCAR:
```
MnAl8Cu2
1.0
8.441 -2.138 0.000
8.441 2.138 0.000
-1.315 0.000 4.703
Mn Al Cu
1 8 2
direct
0.000 0.000 0.000 Mn
0.080 0.080 0.501 Al
0.149 0.149 0.059 Al
0.254 0.254 0.674 Al
0.461 0.461 0.184 Al
0.539 0.539 0.816 Al
0.746 0.746 0.326 Al
0.851 0.851 0.941 Al
0.920 0.920 0.499 Al
0.314 0.314 0.233 Cu
0.686 0.686 0.767 Cu
```

Computed properties:
For the energy above the most stable polymorph in this dataset, the calculation gives 15 meV/atom. For the calculated formation energy, the calculation gives -74 meV per atom. For the total magnetization, the calculation gives 0.0000 μB per atom.